1.
Entry from the Alexandria database: crystalline Cu2HgW at its relaxed geometry (PBE-GGA).

Cell lengths 10.010, 2.704, 4.813 Å; angles 90.00, 109.90, 90.00 degrees
Space group Cm (No. 8)
Symmetry-distinct sites (fractional):
1 Cu 0.000 0.000 0.000 (multiplicity 2)
2 Cu 0.217 0.500 0.322 (multiplicity 2)
3 Hg 0.243 0.000 0.834 (multiplicity 2)
4 W 0.467 0.000 0.471 (multiplicity 2)

## Properties
Electronic total energy in eV/cell: -38.4

***

2.
Entry from the Alexandria database: crystalline CsGeAs4 at its relaxed geometry (PBE-GGA).

Cell lengths 10.560, 9.396, 8.414 Å; angles 90.00, 105.12, 90.00 degrees
Space group C2/m (No. 12)
Symmetry-distinct sites (fractional):
1 Cs 0.139 0.000 0.299 (multiplicity 4)
2 Ge 0.043 0.500 0.338 (multiplicity 4)
3 As 0.000 0.299 0.500 (multiplicity 4)
4 As 0.132 0.366 0.961 (multiplicity 8)
5 As 0.236 0.500 0.210 (multiplicity 4)

## Properties
Electronic total energy in eV/cell: -97.5

***

3.
Entry from the Alexandria database: crystalline LiPmPt at its relaxed geometry (PBE-GGA).

Cell lengths 7.235, 11.812, 12.325 Å; angles 90.00, 90.00, 90.00 degrees
Space group Fddd (No. 70, origin choice 2)
Symmetry-distinct sites (fractional):
1 Li 0.125 0.010 0.125 (multiplicity 16)
2 Pm 0.000 0.000 0.500 (multiplicity 16)
3 Pt 0.125 0.125 0.311 (multiplicity 16)

## Properties
ΔE to the lowest computed polymorph in eV/f.u.: 0.90

***

4.
Entry from the Alexandria database: crystalline BaPtSeO6 at its relaxed geometry (PBE-GGA).

Cell lengths 5.1723, 5.1723, 5.8426 Å; angles 90.00, 90.00, 120.00 degrees
Space group P312 (No. 149)
Symmetry-distinct sites (fractional):
1 Ba 0.0000 0.0000 0.0000 (multiplicity 1)
2 Pt 0.3333 0.6667 0.5000 (multiplicity 1)
3 Se 0.6667 0.3333 0.5000 (multiplicity 1)
4 O 0.3865 0.0252 0.6815 (multiplicity 6)

## Properties
E_form (uncorrected) in meV/atom: -1202

***

5.
Entry from the Alexandria database: crystalline Ce2Zn3SnAu4 at its relaxed geometry (PBE-GGA).

Cell lengths 4.345, 4.345, 11.370 Å; angles 90.00, 90.00, 90.00 degrees
Space group P-4m2 (No. 115)
Symmetry-distinct sites (fractional):
1 Ce 0.000 0.500 0.241 (multiplicity 2)
2 Zn 0.000 0.500 0.872 (multiplicity 2)
3 Zn 0.500 0.500 0.500 (multiplicity 1)
4 Sn 0.000 0.000 0.500 (multiplicity 1)
5 Au 0.000 0.000 0.000 (multiplicity 1)
6 Au 0.000 0.500 0.650 (multiplicity 2)
7 Au 0.500 0.500 0.000 (multiplicity 1)

## Properties
Electronic total energy in eV/cell: -37.5

***

6.
Entry from the Alexandria database: crystalline CdHg2Te at its relaxed geometry (PBE-GGA).

Cell lengths 3.910, 4.845, 11.848 Å; angles 90.00, 90.00, 90.00 degrees
Space group Cmmm (No. 65)
Symmetry-distinct sites (fractional):
1 Cd 0.000 0.000 0.000 (multiplicity 2)
2 Hg 0.000 0.500 0.239 (multiplicity 4)
3 Te 0.000 0.000 0.500 (multiplicity 2)

## Properties
ΔE to the lowest computed polymorph in eV/f.u.: 0.66
E_form (uncorrected) in meV/atom: 69

***

7.
Entry from the Alexandria database: crystalline BaNaAc at its relaxed geometry (PBE-GGA).

Cell lengths 6.665, 12.446, 13.664 Å; angles 90.00, 90.00, 90.00 degrees
Space group Fmmm (No. 69)
Symmetry-distinct sites (fractional):
1 Ba 0.000 0.000 0.144 (multiplicity 8)
2 Na 0.250 0.250 0.250 (multiplicity 8)
3 Ac 0.000 0.160 0.500 (multiplicity 8)

## Properties
ΔE to the lowest computed polymorph in eV/f.u.: 0.09

***

8.
Entry from the Alexandria database: crystalline AcSm9Dy2 at its relaxed geometry (PBE-GGA).

Cell lengths 5.147, 5.147, 15.472 Å; angles 90.00, 90.00, 90.00 degrees
Space group P4/mmm (No. 123)
Symmetry-distinct sites (fractional):
1 Ac 0.000 0.000 0.000 (multiplicity 1)
2 Sm 0.000 0.500 0.173 (multiplicity 4)
3 Sm 0.000 0.500 0.500 (multiplicity 2)
4 Sm 0.500 0.500 0.000 (multiplicity 1)
5 Sm 0.500 0.500 0.337 (multiplicity 2)
6 Dy 0.000 0.000 0.336 (multiplicity 2)

## Properties
Electronic total energy in eV/cell: -55.4

***

9.
Entry from the Alexandria database: crystalline LaVGaAg2 at its relaxed geometry (PBE-GGA).

Cell lengths 5.643, 5.643, 4.992 Å; angles 90.00, 90.00, 90.00 degrees
Space group P4/mmm (No. 123)
Symmetry-distinct sites (fractional):
1 La 0.000 0.000 0.000 (multiplicity 1)
2 V 0.000 0.000 0.500 (multiplicity 1)
3 Ga 0.500 0.500 0.500 (multiplicity 1)
4 Ag 0.000 0.500 0.000 (multiplicity 2)

## Properties
Electronic total energy in eV/cell: -15.9

***

10.
Entry from the Alexandria database: crystalline PrGdPuHg at its relaxed geometry (PBE-GGA).

Cell lengths 7.725, 7.725, 7.725 Å; angles 90.00, 90.00, 90.00 degrees
Space group F-43m (No. 216)
Symmetry-distinct sites (fractional):
1 Pr 0.000 0.000 0.000 (multiplicity 4)
2 Gd 0.000 0.000 0.500 (multiplicity 4)
3 Pu 0.250 0.250 0.250 (multiplicity 4)
4 Hg 0.250 0.250 0.750 (multiplicity 4)

## Properties
Electronic total energy in eV/cell: -133.8

***

11.
Entry from the Alexandria database: crystalline AcI4O12 at its relaxed geometry (PBE-GGA).

Cell lengths 8.219, 8.219, 8.219 Å; angles 90.00, 90.00, 90.00 degrees
Space group Im-3 (No. 204)
Symmetry-distinct sites (fractional):
1 Ac 0.000 0.000 0.000 (multiplicity 2)
2 I 0.250 0.250 0.250 (multiplicity 8)
3 O 0.000 0.240 0.236 (multiplicity 24)

## Properties
E_form (uncorrected) in meV/atom: -590

***

12.
Entry from the Alexandria database: crystalline Tb2PaRu at its relaxed geometry (PBE-GGA).

Cell lengths 3.2766, 3.2766, 31.9920 Å; angles 90.00, 90.00, 120.00 degrees
Space group R-3m (No. 166, hexagonal axes)
Symmetry-distinct sites (fractional):
1 Tb 0.0000 0.0000 0.1017 (multiplicity 6)
2 Pa 0.0000 0.0000 0.0000 (multiplicity 3)
3 Ru 0.0000 0.0000 0.5000 (multiplicity 3)

## Properties
Electronic total energy in eV/cell: -81.4

***

no.,density (g cm⁻³)
1,13.87
2,4.16
3,8.75
4,6.22
5,10.70
6,9.49
7,4.54
8,7.72
9,4.97
10,10.70
11,5.54
12,10.88